Material: ZnRe2Ru
Method: DFT, PBE-GGA
State: optimized geometry

Values from the calculation:
uncorrected energy: -0.317 hartree per atom
calculated density: 15.5 g/cm³

Unit cell a=3.9295 b=3.9295 c=7.4983 alpha=90.00 beta=90.00 gamma=90.00
Last column: nearest neighbours and their distance in Å.
Space group I-4m2 (No. 119)
Unique sites:
Zn1 0.0000 0.0000 0.0000 x2  8 Re 2.72-2.78, 4 Ru 2.72
Re1 0.0000 0.0000 0.5000 x2  4 Re 2.72, 4 Ru 2.72, 4 Zn 2.78
Re2 0.0000 0.5000 0.7500 x2  4 Re 2.72, 4 Zn 2.72, 4 Ru 2.78
Ru1 0.0000 0.5000 0.2500 x2  8 Re 2.72-2.78, 4 Zn 2.72

---

Material: TaF
Method: DFT, PBE-GGA
State: optimized geometry

Values from the calculation:
raw formation energy: -1138 meV per atom
calculated density: 10.7 g/cm³

Unit cell a=5.1765 b=6.2116 c=7.6959 alpha=90.00 beta=90.00 gamma=90.00
Last column: nearest neighbours and their distance in Å.
Space group P2_12_12_1 (No. 19)
Unique sites:
Ta1 0.0124 0.2356 0.0561 x4  2 F 2.15-2.23
Ta2 0.0296 0.5396 0.7589 x4  3 F 2.03-2.21
F1 0.0598 0.4638 0.2776 x4  3 Ta 2.13-2.23
F2 0.1546 0.2651 0.5962 x4  2 Ta 2.03-2.21